## CsTl9Hg2 (PBE)

Data for crystalline CsTl9Hg2 at its relaxed geometry.

Unit cell a=8.7629 b=10.5054 c=10.5054 alpha=79.98 beta=65.35 gamma=65.35
Closest atoms and distances in Å follow each position.
Element x y z (fractional)
Cs 0.2500 0.5000 0.5000  18 Tl 4.12-4.43
Cs 0.5000 0.0000 0.0000  18 Tl 4.12-4.43
Tl 0.4273 0.4256 0.8223  2 Hg 3.24-3.37, 6 Tl 3.35-3.61
Tl 0.6752 0.1777 0.5744  2 Hg 3.24-3.37, 6 Tl 3.35-3.61
Tl 0.1471 0.1777 0.4256  2 Hg 3.24-3.37, 6 Tl 3.35-3.61
Tl 0.9996 0.9256 0.6777  2 Hg 3.24-3.37, 6 Tl 3.35-3.61
Tl 0.6752 0.5744 0.1777  2 Hg 3.24-3.37, 6 Tl 3.35-3.61
Tl 0.7500 0.5000 0.5000  4 Hg 3.55, 8 Tl 3.61
Tl 0.0748 0.9256 0.3223  2 Hg 3.24-3.37, 6 Tl 3.35-3.61
Tl 0.3227 0.6777 0.0744  2 Hg 3.24-3.37, 6 Tl 3.35-3.61
Tl 0.7504 0.8223 0.5744  2 Hg 3.24-3.37, 6 Tl 3.35-3.61
Tl 0.7504 0.5744 0.8223  2 Hg 3.24-3.37, 6 Tl 3.35-3.61
Tl 0.9996 0.6777 0.9256  2 Hg 3.24-3.37, 6 Tl 3.35-3.61
Tl 0.3227 0.0744 0.6777  2 Hg 3.24-3.37, 6 Tl 3.35-3.61
Tl 0.0748 0.3223 0.9256  2 Hg 3.24-3.37, 6 Tl 3.35-3.61
Tl 0.6029 0.3223 0.0744  2 Hg 3.24-3.37, 6 Tl 3.35-3.61
Tl 0.4273 0.8223 0.4256  2 Hg 3.24-3.37, 6 Tl 3.35-3.61
Tl 0.0000 0.0000 0.0000  4 Hg 3.55, 8 Tl 3.61
Tl 0.1471 0.4256 0.1777  2 Hg 3.24-3.37, 6 Tl 3.35-3.61
Tl 0.6029 0.0744 0.3223  2 Hg 3.24-3.37, 6 Tl 3.35-3.61
Hg 0.8750 0.7500 0.2500  10 Tl 3.24-3.55
Hg 0.8750 0.2500 0.7500  10 Tl 3.24-3.55
Hg 0.8750 0.2500 0.2500  10 Tl 3.24-3.55
Hg 0.3750 0.7500 0.7500  10 Tl 3.24-3.55

Summary:
Uncorrected energy, eV per atom: -1.94
Energy relative to the elements, eV/atom: -0.05
Crystal system: tetragonal


## ThMoPb (PBE)

Data for crystalline ThMoPb at its relaxed geometry.

Unit cell a=3.6535 b=3.6535 c=12.3473 alpha=90.00 beta=90.00 gamma=90.00
Closest atoms and distances in Å follow each position.
Element x y z (fractional)
Th 0.0000 0.5000 0.2122  4 Mo 3.19, 4 Pb 3.50
Th 0.5000 0.0000 0.7877  4 Mo 3.19, 4 Pb 3.50
Pb 0.5000 0.0000 0.4030  4 Th 3.50, 8 Pb 3.52-3.65
Pb 0.0000 0.5000 0.5970  4 Th 3.50, 8 Pb 3.52-3.65
Mo 0.0000 0.0000 0.0000  4 Mo 2.58
Mo 0.5000 0.5000 0.0000  4 Mo 2.58

Summary:
Uncorrected energy, eV per atom: -7.03
Energy relative to the elements, eV/atom: 0.29
Crystal system: tetragonal


## Sm3Al7Cu4 (PBE)

Data for crystalline Sm3Al7Cu4 at its relaxed geometry.

Unit cell a=4.2354 b=8.1386 c=8.2920 alpha=71.29 beta=75.20 gamma=74.92
Closest atoms and distances in Å follow each position.
Element x y z (fractional)
Cu 0.3411 0.5370 0.7808  5 Al 2.48-2.62
Cu 0.6589 0.4630 0.2192  5 Al 2.48-2.62
Cu 0.1248 0.0964 0.6540  6 Al 2.55-2.67
Cu 0.8752 0.9036 0.3460  6 Al 2.55-2.67
Al 0.5037 0.7809 0.2117  3 Cu 2.48-2.67, 1 Al 2.64
Al 0.0000 0.0000 0.0000  2 Cu 2.67, 6 Al 2.95-2.96
Al 0.6749 0.1769 0.4733  4 Cu 2.55-2.62, 1 Al 2.64
Al 0.1544 0.6107 0.0805  3 Cu 2.52-2.62
Al 0.8456 0.3893 0.9195  3 Cu 2.52-2.62
Al 0.3251 0.8231 0.5267  4 Cu 2.55-2.62, 1 Al 2.64
Al 0.4963 0.2191 0.7883  3 Cu 2.48-2.67, 1 Al 2.64
Sm 0.0000 0.5000 0.5000  6 Cu 3.07-3.16, 6 Al 3.24-3.36
Sm 0.3104 0.1879 0.1913  4 Cu 3.08, 10 Al 3.08-3.35
Sm 0.6896 0.8121 0.8087  4 Cu 3.08, 10 Al 3.08-3.35

Summary:
Uncorrected energy, eV per atom: -4.48
Energy relative to the elements, eV/atom: -0.43
Crystal system: monoclinic


## CuGeAs2Cl (PBE)

Data for crystalline CuGeAs2Cl at its relaxed geometry.

Unit cell a=4.5720 b=5.4825 c=4.5720 alpha=90.00 beta=90.00 gamma=90.00
Closest atoms and distances in Å follow each position.
Element x y z (fractional)
Cl 0.5000 0.5000 0.5000  4 Ge 3.23, 8 As 3.57
As 0.5000 0.0000 0.0000  2 Cu 2.29
As 0.0000 0.0000 0.5000  2 Cu 2.29
Cu 0.0000 0.0000 0.0000  4 As 2.29
Ge 0.0000 0.5000 0.0000  2 Cu 2.74

Summary:
Uncorrected energy, eV per atom: -3.47
Raw formation energy, eV per formula unit: 2.53
Crystal system: tetragonal


## Pm2Nd3Er2 (PBE)

Data for crystalline Pm2Nd3Er2 at its relaxed geometry.

Unit cell a=3.5427 b=8.6372 c=9.0525 alpha=118.30 beta=101.28 gamma=90.00
Closest atoms and distances in Å follow each position.
Element x y z (fractional)
Pm 0.4352 0.0882 0.8704  3 Pm 3.32-3.54, 5 Nd 3.51-3.69, 2 Er 3.64
Pm 0.5648 0.9118 0.1296  3 Pm 3.32-3.54, 5 Nd 3.51-3.69, 2 Er 3.64
Nd 0.0000 0.5000 0.0000  4 Nd 3.39-3.54, 2 Er 3.56, 4 Pm 3.63
Nd 0.7871 0.2041 0.5741  5 Nd 3.39-3.58, 3 Pm 3.51-3.69, 3 Er 3.60-3.62
Nd 0.2129 0.7959 0.4259  5 Nd 3.39-3.58, 3 Pm 3.51-3.69, 3 Er 3.60-3.62
Er 0.1471 0.3307 0.2942  4 Er 3.54-3.84, 4 Nd 3.56-3.62, 4 Pm 3.64-3.75
Er 0.8529 0.6693 0.7058  4 Er 3.54-3.84, 4 Nd 3.56-3.62, 4 Pm 3.64-3.75

Summary:
Uncorrected energy, eV per atom: -4.59
Polymorph energy (0 for the lowest one), meV/atom: 102
Energy relative to the elements, eV/atom: 0.12
Crystal system: monoclinic


## KBaCr2 (PBE)

Data for crystalline KBaCr2 at its relaxed geometry.

Unit cell a=9.6303 b=9.6303 c=9.6303 alpha=26.98 beta=26.98 gamma=26.98
Closest atoms and distances in Å follow each position.
Element x y z (fractional)
Ba 0.7103 0.7103 0.7103  6 Cr 3.45
Cr 0.2952 0.2952 0.2952  3 Cr 2.59
Cr 0.9619 0.9619 0.9619  3 Cr 2.59
K 0.5326 0.5326 0.5326  6 Cr 3.72

Summary:
Uncorrected energy, eV per atom: -4.86
Polymorph energy (0 for the lowest one), meV/atom: 0
Energy relative to the elements, eV/atom: 0.70
Crystal system: trigonal


## Ce4NpPa3N8 (PBE)

Data for crystalline Ce4NpPa3N8 at its relaxed geometry.

Unit cell a=7.0660 b=7.0579 c=7.0659 alpha=120.04 beta=120.00 gamma=90.00
Closest atoms and distances in Å follow each position.
Element x y z (fractional)
N 0.7396 0.7271 0.9834  2 Pa 2.42, 1 Np 2.44, 3 Ce 2.56-2.58
N 0.2437 0.7271 0.9834  2 Pa 2.42, 1 Np 2.44, 3 Ce 2.56-2.58
N 0.7563 0.2729 0.5126  2 Pa 2.42, 1 Np 2.44, 3 Ce 2.56-2.58
N 0.7563 0.2729 0.0166  2 Pa 2.42, 1 Np 2.44, 3 Ce 2.56-2.58
N 0.2581 0.2742 0.5161  3 Pa 2.42, 3 Ce 2.58
N 0.7419 0.7258 0.4839  3 Pa 2.42, 3 Ce 2.58
N 0.2604 0.2729 0.0166  2 Pa 2.42, 1 Np 2.44, 3 Ce 2.56-2.58
N 0.2437 0.7271 0.4874  2 Pa 2.42, 1 Np 2.44, 3 Ce 2.56-2.58
Ce 0.5000 0.0000 0.5000  6 N 2.58
Ce 0.0000 0.0000 0.5000  6 N 2.58
Ce 0.0000 0.0000 0.0000  6 N 2.58
Ce 0.5000 0.0000 0.0000  6 N 2.56
Pa 0.0000 0.5000 0.5000  6 N 2.42
Pa 0.5000 0.5000 0.5000  6 N 2.42
Pa 0.5000 0.5000 0.0000  6 N 2.42
Np 0.0000 0.5000 0.0000  6 N 2.44

Summary:
Uncorrected energy, eV per atom: -9.77
Raw formation energy, eV per formula unit: -24.62
Crystal system: trigonal


## PmPrInRu (PBE)

Data for crystalline PmPrInRu at its relaxed geometry.

Unit cell a=5.2335 b=5.2335 c=5.2335 alpha=60.00 beta=60.00 gamma=60.00
Closest atoms and distances in Å follow each position.
Element x y z (fractional)
Ru 0.7500 0.7500 0.7500  4 Pm 3.20, 4 Pr 3.20
Pr 0.0000 0.0000 0.0000  4 Ru 3.20, 4 In 3.20
In 0.2500 0.2500 0.2500  4 Pr 3.20, 4 Pm 3.20
Pm 0.5000 0.5000 0.5000  4 In 3.20, 4 Ru 3.20

Summary:
Uncorrected energy, eV per atom: -5.59
Polymorph energy (0 for the lowest one), meV/atom: 102
Energy relative to the elements, eV/atom: -0.20
Crystal system: cubic


## AlCo3S (PBE)

Data for crystalline AlCo3S at its relaxed geometry.

Unit cell a=4.0649 b=4.0649 c=4.0649 alpha=90.00 beta=90.00 gamma=90.00
Closest atoms and distances in Å follow each position.
Element x y z (fractional)
Co 0.5000 0.0000 0.0000  2 S 2.03
Co 0.0000 0.0000 0.5000  2 S 2.03
Co 0.0000 0.5000 0.0000  2 S 2.03
S 0.0000 0.0000 0.0000  6 Co 2.03
Al 0.5000 0.5000 0.5000  12 Co 2.87

Summary:
Uncorrected energy, eV per atom: -5.74
Polymorph energy (0 for the lowest one), meV/atom: 0
Raw formation energy, eV per formula unit: 0.49
Crystal system: cubic


## Er6Tm4Sc (PBE)

Data for crystalline Er6Tm4Sc at its relaxed geometry.

Unit cell a=5.5097 b=5.4925 c=25.2386 alpha=90.00 beta=90.00 gamma=120.10
Closest atoms and distances in Å follow each position.
Element x y z (fractional)
Tm 0.1652 0.3303 0.4572  8 Er 3.35-3.75, 1 Tm 3.71
Tm 0.4952 0.9904 0.1217  5 Er 3.07-3.24
Tm 0.8348 0.6697 0.5428  8 Er 3.35-3.75, 1 Tm 3.71
Tm 0.4952 0.9904 0.3783  5 Er 3.07-3.24
Tm 0.8348 0.6697 0.9572  8 Er 3.35-3.75, 1 Tm 3.71
Tm 0.5048 0.0096 0.6217  5 Er 3.07-3.24
Tm 0.1652 0.3303 0.0428  8 Er 3.35-3.75, 1 Tm 3.71
Tm 0.5048 0.0096 0.8783  5 Er 3.07-3.24
Er 0.8376 0.6752 0.8175  7 Er 3.41-3.72, 4 Tm 3.52-3.53, 3 Sc 3.59-3.61
Er 0.5000 0.0000 0.5000  8 Tm 3.07-3.36
Er 0.1707 0.3415 0.6057  6 Tm 3.20-3.57
Er 0.1707 0.3415 0.8943  6 Tm 3.20-3.57
Er 0.1624 0.3248 0.3175  7 Er 3.41-3.72, 4 Tm 3.52-3.53, 3 Sc 3.59-3.61
Er 0.4959 0.9919 0.2500  3 Sc 3.17-3.18, 2 Tm 3.24
Er 0.1624 0.3248 0.1825  7 Er 3.41-3.72, 4 Tm 3.52-3.53, 3 Sc 3.59-3.61
Er 0.8376 0.6752 0.6825  7 Er 3.41-3.72, 4 Tm 3.52-3.53, 3 Sc 3.59-3.61
Er 0.8293 0.6585 0.3943  6 Tm 3.20-3.57
Er 0.8293 0.6585 0.1057  6 Tm 3.20-3.57
Er 0.5000 0.0000 0.0000  8 Tm 3.07-3.36
Er 0.5041 0.0081 0.7500  3 Sc 3.17-3.18, 2 Tm 3.24
Sc 0.8295 0.6590 0.2500  3 Er 3.17-3.18
Sc 0.1705 0.3410 0.7500  3 Er 3.17-3.18

Summary:
Uncorrected energy, eV per atom: -4.55
Polymorph energy (0 for the lowest one), meV/atom: 0
Energy relative to the elements, eV/atom: 0.14
Crystal system: orthorhombic


## LaNdN2 (PBE)

Data for crystalline LaNdN2 at its relaxed geometry.

Unit cell a=3.7010 b=3.7010 c=6.4205 alpha=73.25 beta=73.25 gamma=60.00
Closest atoms and distances in Å follow each position.
Element x y z (fractional)
N 0.7486 0.7486 0.7542  3 Nd 2.60, 3 La 2.63
N 0.2514 0.2514 0.2458  3 Nd 2.60, 3 La 2.63
La 0.5000 0.5000 0.5000  6 N 2.63
Nd 0.0000 0.0000 0.0000  6 N 2.60

Summary:
Uncorrected energy, eV per atom: -7.92
Raw formation energy, eV per formula unit: -5.34
Crystal system: trigonal


## Y2AlIr (PBE)

Data for crystalline Y2AlIr at its relaxed geometry.

Unit cell a=4.8476 b=4.8476 c=4.8476 alpha=60.00 beta=60.00 gamma=60.00
Closest atoms and distances in Å follow each position.
Element x y z (fractional)
Y 0.2500 0.2500 0.2500  4 Al 2.97, 4 Y 2.97
Y 0.0000 0.0000 0.0000  4 Ir 2.97, 4 Y 2.97
Ir 0.7500 0.7500 0.7500  4 Al 2.97, 4 Y 2.97
Al 0.5000 0.5000 0.5000  4 Ir 2.97, 4 Y 2.97

Summary:
Uncorrected energy, eV per atom: -6.84
Energy relative to the elements, eV/atom: -0.45
Crystal system: cubic


Volume (Å³ per atom)
33.29; 27.47; 18.34; 22.92; 33.97; 40.54; 15.56; 25.34; 13.43; 30.03; 17.95; 20.14